! KMgRu (PBE-GGA, optimized geometry); values from VASP
! E above lowest polymorph ... 1.150 eV per atom
! Total energy ... -6.7 eV/cell
! Size of the total moment ... 1.98 Bohr magnetons per cell
! ΔE_f ... 1.764 eV per atom
&SYSTEM
  ibrav = 0, nat = 3, ntyp = 3
/
ATOMIC_SPECIES
Mg 24.30 Mg.upf
Ru 101.07 Ru.upf
K 39.10 K.upf
ATOMIC_POSITIONS crystal
Mg 0.000 0.000 0.000
Ru 0.500 0.500 0.500
K 0.750 0.750 0.750
CELL_PARAMETERS angstrom
-4.923 -0.583 0.806
-2.325 -4.167 -1.566
-1.614 -3.383 3.343

! MgTi2Pd2 (PBE-GGA, optimized geometry); values from VASP
! Total energy ... -29.1 eV/cell
! Size of the total moment ... 0.00 Bohr magnetons per cell
! ΔE_f ... -0.258 eV per atom
&SYSTEM
  ibrav = 0, nat = 5, ntyp = 3
/
ATOMIC_SPECIES
Ti 47.87 Ti.upf
Pd 106.42 Pd.upf
Mg 24.30 Mg.upf
ATOMIC_POSITIONS crystal
Ti 0.750 0.250 0.500
Pd 0.383 0.383 0.235
Ti 0.250 0.750 0.500
Pd 0.617 0.617 0.765
Mg 0.000 0.000 0.000
CELL_PARAMETERS angstrom
4.201 0.000 0.000
0.000 4.201 0.000
2.100 2.100 5.423

! Ac4MgPa3N8 (PBE-GGA, optimized geometry); values from VASP
! Formation energy (no corrections) ... -1.274 eV per atom
! Total energy ... -133.5 eV/cell
! Size of the total moment ... 0.00 Bohr magnetons per cell
&SYSTEM
  ibrav = 0, nat = 16, ntyp = 4
/
ATOMIC_SPECIES
Pa 231.04 Pa.upf
N 14.01 N.upf
Mg 24.30 Mg.upf
Ac 227.00 Ac.upf
ATOMIC_POSITIONS crystal
Pa 0.500 0.500 0.500
N 0.715 0.695 0.955
N 0.240 0.695 0.481
N 0.730 0.689 0.459
N 0.285 0.305 0.045
N 0.760 0.305 0.045
Mg 0.000 0.500 0.000
Pa 0.500 0.500 0.000
Ac 0.500 0.000 0.500
Ac 0.000 0.000 0.000
N 0.760 0.305 0.519
Pa 0.000 0.500 0.500
N 0.270 0.311 0.541
Ac 0.500 0.000 0.000
Ac 0.000 0.000 0.500
N 0.240 0.695 0.955
CELL_PARAMETERS angstrom
-0.617 -7.146 0.497
1.250 -0.617 -7.321
4.806 3.484 4.057

! YRu2Pt (PBE-GGA, optimized geometry); values from VASP
! E above lowest polymorph ... 0.068 eV per atom
! Total energy ... -31.6 eV/cell
! Size of the total moment ... 0.00 Bohr magnetons per cell
! ΔE_f ... -0.146 eV per atom
&SYSTEM
  ibrav = 0, nat = 4, ntyp = 3
/
ATOMIC_SPECIES
Y 88.91 Y.upf
Ru 101.07 Ru.upf
Pt 195.08 Pt.upf
ATOMIC_POSITIONS crystal
Y 0.000 0.466 0.538
Ru 0.000 0.890 0.051
Pt 0.500 0.907 0.735
Ru 0.500 0.237 0.176
CELL_PARAMETERS angstrom
4.488 0.000 0.000
0.000 2.963 -0.014
0.000 1.027 5.200

! DyBi2Te4 (PBE-GGA, optimized geometry); values from VASP
! Formation energy (no corrections) ... -0.499 eV per atom
! Total energy ... -56.8 eV/cell
! Size of the total moment ... 0.00 Bohr magnetons per cell
&SYSTEM
  ibrav = 0, nat = 14, ntyp = 3
/
ATOMIC_SPECIES
Te 127.60 Te.upf
Bi 208.98 Bi.upf
Dy 162.50 Dy.upf
ATOMIC_POSITIONS crystal
Te 0.500 0.000 0.000
Te 0.206 0.413 0.623
Bi 0.134 0.268 0.428
Bi 0.134 0.268 0.072
Te 0.028 0.055 0.250
Bi 0.866 0.732 0.572
Dy 0.614 0.228 0.750
Te 0.500 0.000 0.500
Te 0.794 0.587 0.377
Te 0.206 0.413 0.877
Te 0.972 0.945 0.750
Te 0.794 0.587 0.123
Bi 0.866 0.732 0.928
Dy 0.386 0.772 0.250
CELL_PARAMETERS angstrom
-1.222 -3.745 1.346
-1.382 -0.132 -8.061
13.635 -5.259 -2.251

! NaAlTe2 (PBE-GGA, optimized geometry); values from VASP
! Formation energy (no corrections) ... -0.634 eV per atom
! Total energy ... -55.5 eV/cell
! Size of the total moment ... 0.00 Bohr magnetons per cell
&SYSTEM
  ibrav = 0, nat = 16, ntyp = 3
/
ATOMIC_SPECIES
Al 26.98 Al.upf
Na 22.99 Na.upf
Te 127.60 Te.upf
ATOMIC_POSITIONS crystal
Al 0.039 0.250 0.587
Na 0.260 0.250 0.264
Te 0.311 0.250 0.022
Te 0.490 0.250 0.752
Na 0.760 0.250 0.236
Te 0.990 0.250 0.748
Na 0.240 0.750 0.764
Te 0.189 0.750 0.522
Al 0.961 0.750 0.413
Te 0.811 0.250 0.478
Al 0.461 0.750 0.087
Na 0.740 0.750 0.736
Te 0.689 0.750 0.978
Al 0.539 0.250 0.913
Te 0.510 0.750 0.248
Te 0.010 0.750 0.252
CELL_PARAMETERS angstrom
-0.766 9.302 -0.628
-4.252 -0.356 -0.085
-0.393 1.010 15.437

! CaYSi2 (PBE-GGA, optimized geometry); values from VASP
! Formation energy (no corrections) ... -0.315 eV per atom
! E above lowest polymorph ... 0.344 eV per atom
! Total energy ... -20.6 eV/cell
! Size of the total moment ... 0.00 Bohr magnetons per cell
&SYSTEM
  ibrav = 0, nat = 4, ntyp = 3
/
ATOMIC_SPECIES
Ca 40.08 Ca.upf
Si 28.09 Si.upf
Y 88.91 Y.upf
ATOMIC_POSITIONS crystal
Ca 0.000 0.000 0.000
Si 0.250 0.250 0.250
Si 0.750 0.750 0.750
Y 0.500 0.500 0.500
CELL_PARAMETERS angstrom
1.505 -2.121 4.299
-3.316 -0.849 3.679
-1.383 -4.704 1.100

! KMn2Ag (PBE-GGA, optimized geometry); values from VASP
! E above lowest polymorph ... 0.352 eV per atom
! Total energy ... -18.5 eV/cell
! Size of the total moment ... 8.02 Bohr magnetons per cell
! ΔE_f ... 0.956 eV per atom
&SYSTEM
  ibrav = 0, nat = 4, ntyp = 3
/
ATOMIC_SPECIES
Ag 107.87 Ag.upf
Mn 54.94 Mn.upf
K 39.10 K.upf
ATOMIC_POSITIONS crystal
Ag 0.500 0.000 0.500
Mn 0.000 0.000 0.000
K 0.000 0.500 0.500
Mn 0.500 0.500 0.000
CELL_PARAMETERS angstrom
5.794 0.004 0.000
-2.854 5.042 0.000
0.000 0.000 2.896

! Pm2Y3Cd2 (PBE-GGA, optimized geometry); values from VASP
! E above lowest polymorph ... 0.107 eV per atom
! Total energy ... -31.0 eV/cell
! Size of the total moment ... 0.21 Bohr magnetons per cell
! ΔE_f ... -0.044 eV per atom
&SYSTEM
  ibrav = 0, nat = 7, ntyp = 3
/
ATOMIC_SPECIES
Y 88.91 Y.upf
Cd 112.41 Cd.upf
Pm 145.00 Pm.upf
ATOMIC_POSITIONS crystal
Y 0.000 0.000 0.000
Y 0.861 0.000 0.278
Cd 0.569 0.500 0.862
Cd 0.431 0.500 0.138
Pm 0.712 0.500 0.577
Pm 0.288 0.500 0.423
Y 0.139 0.000 0.722
CELL_PARAMETERS angstrom
-4.444 1.854 -0.944
-1.455 -3.114 0.736
-3.304 4.117 10.890

! MgOsRu (PBE-GGA, optimized geometry); values from VASP
! E above lowest polymorph ... 0.101 eV per atom
! Total energy ... -21.6 eV/cell
! Size of the total moment ... 0.00 Bohr magnetons per cell
! ΔE_f ... 0.172 eV per atom
&SYSTEM
  ibrav = 0, nat = 3, ntyp = 3
/
ATOMIC_SPECIES
Ru 101.07 Ru.upf
Mg 24.30 Mg.upf
Os 190.23 Os.upf
ATOMIC_POSITIONS crystal
Ru 0.333 0.667 0.651
Mg 0.000 0.000 0.999
Os 0.667 0.333 0.350
CELL_PARAMETERS angstrom
2.790 0.000 0.000
-1.395 2.416 0.000
0.000 0.000 6.790

! Zr2NbAlH (PBE-GGA, optimized geometry); values from VASP
! E above lowest polymorph ... 0.000 eV per atom
! Total energy ... -35.9 eV/cell
! Size of the total moment ... 0.00 Bohr magnetons per cell
&SYSTEM
  ibrav = 0, nat = 5, ntyp = 4
/
ATOMIC_SPECIES
Zr 91.22 Zr.upf
H 1.01 H.upf
Al 26.98 Al.upf
Nb 92.91 Nb.upf
ATOMIC_POSITIONS crystal
Zr 0.500 0.000 0.000
Zr 0.000 0.500 0.000
H 0.000 0.000 0.000
Al 0.500 0.500 0.500
Nb 0.000 0.000 0.500
CELL_PARAMETERS angstrom
-2.322 0.695 3.841
3.732 -0.913 2.422
0.995 3.828 -0.091

! Ta2AlGa2 (PBE-GGA, optimized geometry); values from VASP
! E above lowest polymorph ... 0.290 eV per atom
! Total energy ... -66.1 eV/cell
! Size of the total moment ... 0.00 Bohr magnetons per cell
! ΔE_f ... 0.089 eV per atom
&SYSTEM
  ibrav = 0, nat = 10, ntyp = 3
/
ATOMIC_SPECIES
Ta 180.95 Ta.upf
Al 26.98 Al.upf
Ga 69.72 Ga.upf
ATOMIC_POSITIONS crystal
Ta 0.360 0.860 0.000
Al 0.000 0.000 0.000
Ta 0.640 0.140 0.000
Ga 0.661 0.839 0.500
Ga 0.839 0.339 0.500
Ga 0.339 0.161 0.500
Ta 0.860 0.640 0.000
Ta 0.140 0.360 0.000
Ga 0.161 0.661 0.500
Al 0.500 0.500 0.000
CELL_PARAMETERS angstrom
6.969 0.000 0.000
0.000 6.969 0.000
0.000 0.000 3.716

! KYTeI2 (PBE-GGA, optimized geometry); values from VASP
! Formation energy (no corrections) ... -1.257 eV per atom
! E above lowest polymorph ... 0.000 eV per atom
! Total energy ... -20.1 eV/cell
! Size of the total moment ... 0.00 Bohr magnetons per cell
&SYSTEM
  ibrav = 0, nat = 5, ntyp = 4
/
ATOMIC_SPECIES
I 126.90 I.upf
Y 88.91 Y.upf
K 39.10 K.upf
Te 127.60 Te.upf
ATOMIC_POSITIONS crystal
I 0.500 0.000 0.000
Y 0.000 0.000 0.000
K 0.500 0.500 0.500
I 0.000 0.500 0.000
Te 0.000 0.000 0.500
CELL_PARAMETERS angstrom
6.125 0.000 0.000
0.000 6.125 0.000
0.000 0.000 5.901

! LiPt3Rh (PBE-GGA, optimized geometry); values from VASP
! E above lowest polymorph ... 0.784 eV per atom
! Total energy ... -24.6 eV/cell
! Size of the total moment ... 1.12 Bohr magnetons per cell
! ΔE_f ... 0.566 eV per atom
&SYSTEM
  ibrav = 0, nat = 5, ntyp = 3
/
ATOMIC_SPECIES
Li 6.94 Li.upf
Rh 102.91 Rh.upf
Pt 195.08 Pt.upf
ATOMIC_POSITIONS crystal
Li 0.000 0.000 0.000
Rh 0.500 0.500 0.500
Pt 0.000 0.000 0.500
Pt 0.500 0.000 0.000
Pt 0.000 0.500 0.000
CELL_PARAMETERS angstrom
4.205 0.000 0.000
0.000 4.205 0.000
0.000 0.000 4.205

! Ni3SbPt2 (PBE-GGA, optimized geometry); values from VASP
! Formation energy (no corrections) ... -0.039 eV per atom
! Total energy ... -67.6 eV/cell
! Size of the total moment ... 1.27 Bohr magnetons per cell
&SYSTEM
  ibrav = 0, nat = 12, ntyp = 3
/
ATOMIC_SPECIES
Ni 58.69 Ni.upf
Pt 195.08 Pt.upf
Sb 121.76 Sb.upf
ATOMIC_POSITIONS crystal
Ni 0.250 0.338 0.313
Pt 0.500 0.841 0.841
Pt 0.000 0.159 0.159
Pt 0.000 0.841 0.841
Ni 0.250 0.772 0.228
Ni 0.750 0.662 0.687
Ni 0.250 0.687 0.662
Ni 0.750 0.313 0.338
Ni 0.750 0.228 0.772
Sb 0.250 0.273 0.727
Sb 0.750 0.727 0.273
Pt 0.500 0.159 0.159
CELL_PARAMETERS angstrom
5.481 0.000 0.000
0.000 6.665 2.083
0.000 3.706 5.918

! TmSe2O5 (PBE-GGA, optimized geometry); values from VASP
! Formation energy (no corrections) ... -1.503 eV per atom
! Total energy ... -193.0 eV/cell
! Size of the total moment ... 0.00 Bohr magnetons per cell
&SYSTEM
  ibrav = 0, nat = 32, ntyp = 3
/
ATOMIC_SPECIES
O 16.00 O.upf
Se 78.96 Se.upf
Tm 168.93 Tm.upf
ATOMIC_POSITIONS crystal
O 0.250 0.000 0.430
Se 0.031 0.365 0.859
O 0.750 0.500 0.070
Se 0.531 0.135 0.641
O 0.958 0.649 0.568
O 0.645 0.180 0.783
O 0.645 0.320 0.283
O 0.855 0.820 0.783
O 0.042 0.351 0.432
O 0.355 0.680 0.717
Tm 0.750 0.000 0.932
O 0.458 0.649 0.432
Se 0.969 0.865 0.641
O 0.542 0.351 0.568
O 0.542 0.149 0.068
Tm 0.250 0.000 0.068
Se 0.469 0.635 0.859
O 0.145 0.320 0.717
O 0.855 0.680 0.283
Se 0.031 0.135 0.359
O 0.042 0.149 0.932
Se 0.531 0.365 0.141
Se 0.469 0.865 0.359
Tm 0.250 0.500 0.568
O 0.250 0.500 0.930
O 0.145 0.180 0.217
O 0.958 0.851 0.068
O 0.750 0.000 0.570
O 0.355 0.820 0.217
Tm 0.750 0.500 0.432
Se 0.969 0.635 0.141
O 0.458 0.851 0.932
CELL_PARAMETERS angstrom
6.727 0.000 0.000
0.000 7.497 0.000
0.000 0.000 10.593

! NaNiB2 (PBE-GGA, optimized geometry); values from VASP
! E above lowest polymorph ... 0.000 eV per atom
! Total energy ... -37.5 eV/cell
! Size of the total moment ... 0.00 Bohr magnetons per cell
! ΔE_f ... 0.432 eV per atom
&SYSTEM
  ibrav = 0, nat = 8, ntyp = 3
/
ATOMIC_SPECIES
B 10.81 B.upf
Na 22.99 Na.upf
Ni 58.69 Ni.upf
ATOMIC_POSITIONS crystal
B 0.875 0.125 0.750
Na 0.250 0.750 0.500
B 0.375 0.125 0.750
B 0.875 0.125 0.250
B 0.875 0.625 0.250
Na 0.500 0.500 0.000
Ni 0.000 0.000 0.000
Ni 0.750 0.250 0.500
CELL_PARAMETERS angstrom
3.703 0.000 0.000
0.000 3.703 0.000
1.851 1.851 7.051

! In2OsCl (PBE-GGA, optimized geometry); values from VASP
! Formation energy (no corrections) ... 0.690 eV per atom
! E above lowest polymorph ... 0.666 eV per atom
! Total energy ... -15.8 eV/cell
! Size of the total moment ... 0.00 Bohr magnetons per cell
&SYSTEM
  ibrav = 0, nat = 4, ntyp = 3
/
ATOMIC_SPECIES
Os 190.23 Os.upf
In 114.82 In.upf
Cl 35.45 Cl.upf
ATOMIC_POSITIONS crystal
Os 0.250 0.750 0.500
In 0.000 0.000 0.000
In 0.500 0.500 0.000
Cl 0.750 0.250 0.500
CELL_PARAMETERS angstrom
-5.063 0.396 -0.669
-1.337 -4.168 -2.660
2.728 0.341 4.322

! DyTiFe4 (PBE-GGA, optimized geometry); values from VASP
! Total energy ... -47.3 eV/cell
! Size of the total moment ... 6.31 Bohr magnetons per cell
! ΔE_f ... -0.154 eV per atom
&SYSTEM
  ibrav = 0, nat = 6, ntyp = 3
/
ATOMIC_SPECIES
Dy 162.50 Dy.upf
Fe 55.84 Fe.upf
Ti 47.87 Ti.upf
ATOMIC_POSITIONS crystal
Dy 0.000 0.000 0.000
Fe 0.624 0.624 0.624
Fe 0.624 0.624 0.127
Fe 0.127 0.624 0.624
Fe 0.624 0.127 0.624
Ti 0.250 0.250 0.250
CELL_PARAMETERS angstrom
4.979 0.000 0.000
2.489 4.312 0.000
2.489 1.437 4.065

! VAsOs (PBE-GGA, optimized geometry); values from VASP
! E above lowest polymorph ... 0.000 eV per atom
! Total energy ... -25.6 eV/cell
! Size of the total moment ... 0.00 Bohr magnetons per cell
! ΔE_f ... -0.188 eV per atom
&SYSTEM
  ibrav = 0, nat = 3, ntyp = 3
/
ATOMIC_SPECIES
Os 190.23 Os.upf
V 50.94 V.upf
As 74.92 As.upf
ATOMIC_POSITIONS crystal
Os 0.250 0.250 0.250
V 0.000 0.000 0.000
As 0.500 0.500 0.500
CELL_PARAMETERS angstrom
-2.475 -3.148 -0.991
1.257 -2.835 -2.721
0.910 -3.818 1.270